Record 1
ScTl2 | GGA-PBEsol | relaxed

```
data_ScTl2
_space_group_name_H-M_alt 'P 1'
_space_group_IT_number 1
_space_group_name_Hall 'P 1'
_cell_length_a 4.232
_cell_length_b 4.498
_cell_length_c 7.795
_cell_angle_alpha 73.23
_cell_angle_beta 90.00
_cell_angle_gamma 90.00
loop_
_atom_site_label
_atom_site_type_symbol
_atom_site_fract_x
_atom_site_fract_y
_atom_site_fract_z
_atom_site_occupancy
Sc1 Sc 0.250 0.087 0.826 1
Sc2 Sc 0.750 0.913 0.174 1
Tl1 Tl 0.750 0.574 0.852 1
Tl2 Tl 0.250 0.741 0.519 1
Tl3 Tl 0.250 0.426 0.148 1
Tl4 Tl 0.750 0.259 0.481 1
```

Values from the calculation:
ΔE_f   -0.173 eV per atom

Record 2
LaNi2As | GGA-PBEsol | relaxed

```
data_LaNi2As
_space_group_name_H-M_alt 'P 1'
_space_group_IT_number 1
_space_group_name_Hall 'P 1'
_cell_length_a 3.892
_cell_length_b 4.116
_cell_length_c 4.804
_cell_angle_alpha 90.00
_cell_angle_beta 90.00
_cell_angle_gamma 90.00
loop_
_atom_site_label
_atom_site_type_symbol
_atom_site_fract_x
_atom_site_fract_y
_atom_site_fract_z
_atom_site_occupancy
La1 La 0.500 0.500 0.500 1
Ni1 Ni 0.000 0.000 0.256 1
Ni2 Ni 0.000 0.000 0.744 1
As1 As 0.500 0.000 0.000 1
```

Values from the calculation:
ΔE_f   -0.517 eV per atom

Record 3
ZnPWCl2 | GGA-PBEsol | relaxed

```
data_ZnPWCl2
_space_group_name_H-M_alt 'P 1'
_space_group_IT_number 1
_space_group_name_Hall 'P 1'
_cell_length_a 4.312
_cell_length_b 4.312
_cell_length_c 5.843
_cell_angle_alpha 90.00
_cell_angle_beta 90.00
_cell_angle_gamma 90.00
loop_
_atom_site_label
_atom_site_type_symbol
_atom_site_fract_x
_atom_site_fract_y
_atom_site_fract_z
_atom_site_occupancy
Cl1 Cl 0.000 0.500 0.000 1
Cl2 Cl 0.500 0.000 0.000 1
W1 W 0.500 0.500 0.500 1
P1 P 0.000 0.000 0.500 1
Zn1 Zn 0.000 0.000 0.000 1
```

Values from the calculation:
Raw formation energy   1.067 eV per atom

Volume / Å³ per cell: 142, 77, 109
M_tot / μB per formula unit: 0.00, 0.00, 3.00